[1]
Below is a relaxed structure of NaCaSi2F, with properties calculated at the PBE level.

The structure in extended XYZ format:
```
5
Lattice="5.385 0.000 0.000 0.000 3.917 0.000 0.000 0.000 5.385" Properties=species:S:1:pos:R:3 pbc="T T T"
F 0.000 1.958 0.000
Si 0.000 0.000 2.692
Na 0.000 0.000 0.000
Ca 2.692 1.958 2.692
Si 2.692 0.000 0.000
```

Properties
The value obtained for the total energy is -3.307 eV/atom. Its total magnetic moment is 0.00 μB per formula unit. As for the raw formation energy: -99.8 meV/atom.



[2]
Below is a relaxed structure of Na2CaSiF8, with properties calculated at the PBE level.

The structure in extended XYZ format:
```
12
Lattice="4.964 -0.031 -0.003 0.011 5.002 -0.006 0.004 0.008 6.707" Properties=species:S:1:pos:R:3 pbc="T T T"
F 0.859 4.151 1.241
F 1.208 1.204 -0.002
F 3.462 3.474 3.348
F 3.771 3.773 6.700
Ca 0.002 0.004 3.354
F 4.118 0.823 1.243
F 0.862 4.155 5.456
F 1.518 1.504 3.351
F 4.120 0.827 5.458
Na 2.491 2.491 5.085
Na 2.489 2.487 1.613
Si 0.000 0.000 0.000
```

Properties
The value obtained for the total energy is -5.309 eV/atom. Its total magnetic moment is 0.00 μB per formula unit. As for the raw formation energy: -3223.3 meV/atom.



[3]
Below is a relaxed structure of NaCa2SnF, with properties calculated at the PBE level.

The structure in extended XYZ format:
```
5
Lattice="-4.861 1.085 0.017 -0.572 -2.627 4.193 0.865 3.836 2.521" Properties=species:S:1:pos:R:3 pbc="T T T"
Ca -0.286 -1.313 2.096
F 0.000 0.000 0.000
Sn -2.284 1.147 3.365
Ca -2.430 0.543 0.008
Na 0.433 1.918 1.261
```

Properties
The value obtained for the total energy is -3.680 eV/atom. Its total magnetic moment is 0.00 μB per formula unit. As for the raw formation energy: -1440.8 meV/atom.



[4]
Below is a relaxed structure of NaCaTcF6, with properties calculated at the PBE level.

The structure in extended XYZ format:
```
18
Lattice="-0.479 2.733 -5.031 1.824 -5.446 0.149 -8.953 -3.020 -0.789" Properties=species:S:1:pos:R:3 pbc="T T T"
Tc -5.658 -4.985 -2.169
F -4.766 -3.803 -3.593
F -5.023 -3.822 -0.599
F -2.841 -1.931 -2.078
Tc -1.949 -0.749 -3.502
F -6.555 -6.154 -0.737
F -3.540 0.546 -3.630
Na -4.477 -1.510 -0.394
F -0.360 -2.043 -3.357
Ca -1.182 -3.475 -1.775
F -4.067 -6.279 -2.041
F -2.584 -1.912 -5.072
Na 0.000 0.000 0.000
F -1.052 0.421 -4.933
F -7.248 -3.691 -2.314
Ca -6.426 -2.259 -3.896
F -1.318 0.428 -1.940
F -6.289 -6.162 -3.731
```

Properties
The value obtained for the total energy is -5.479 eV/atom. Its total magnetic moment is 2.00 μB per formula unit. As for the raw formation energy: -2710.7 meV/atom.



[5]
Below is a relaxed structure of Na2CaTeF, with properties calculated at the PBE level.

The structure in extended XYZ format:
```
5
Lattice="4.710 0.000 0.000 0.000 4.710 0.000 0.000 0.000 5.261" Properties=species:S:1:pos:R:3 pbc="T T T"
F 0.000 0.000 0.000
Na 0.000 2.355 0.000
Ca 0.000 0.000 2.630
Te 2.355 2.355 2.630
Na 2.355 0.000 0.000
```

Properties
The value obtained for the total energy is -3.438 eV/atom. Its total magnetic moment is 0.00 μB per formula unit. As for the raw formation energy: -1507.0 meV/atom.



[6]
Below is a relaxed structure of NaCaTiF6, with properties calculated at the PBE level.

The structure in extended XYZ format:
```
18
Lattice="5.775 0.000 0.000 -2.888 5.002 0.000 0.000 0.000 9.200" Properties=species:S:1:pos:R:3 pbc="T T T"
F 1.182 1.686 3.344
Ti 2.888 1.667 2.300
F 2.018 3.135 1.256
Na 0.000 0.000 0.000
F 0.870 1.867 7.944
F 1.706 3.315 5.856
F -1.706 3.315 7.944
F 2.051 0.180 1.256
F -0.870 1.867 5.856
F 0.836 4.821 7.944
Ca 2.888 1.667 6.900
F 4.593 1.686 1.256
Na 0.000 0.000 4.600
F 3.757 3.135 3.344
F 3.724 0.180 3.344
Ti 0.000 3.334 6.900
Ca 0.000 3.334 2.300
F -0.836 4.821 5.856
```

Properties
The value obtained for the total energy is -5.866 eV/atom. Its total magnetic moment is 1.00 μB per formula unit. As for the raw formation energy: -3372.7 meV/atom.



[7]
Below is a relaxed structure of NaCaTlF6, with properties calculated at the PBE level.

The structure in extended XYZ format:
```
18
Lattice="5.221 0.000 0.000 0.000 5.221 0.000 0.000 0.000 10.682" Properties=species:S:1:pos:R:3 pbc="T T T"
F 1.007 4.215 1.881
F 4.165 1.056 8.851
F 1.554 1.554 3.510
Na 0.000 0.000 10.677
F 1.604 1.604 7.222
Tl 2.611 2.611 8.906
Ca 0.000 0.000 7.130
F 3.588 3.588 10.628
F 4.244 0.977 5.287
F 0.977 4.244 5.287
Na 2.611 2.611 5.336
Ca 2.611 2.611 1.789
F 4.215 1.007 1.881
F 3.667 3.667 3.510
F 1.633 1.633 10.628
F 3.617 3.617 7.222
Tl 0.000 0.000 3.565
F 1.056 4.165 8.851
```

Properties
The value obtained for the total energy is -4.640 eV/atom. Its total magnetic moment is 0.00 μB per formula unit. As for the raw formation energy: -2760.2 meV/atom.



[8]
Below is a relaxed structure of Na2CaTlF, with properties calculated at the PBE level.

The structure in extended XYZ format:
```
5
Lattice="-1.024 -4.245 -2.631 1.640 -2.823 3.916 -4.274 -0.054 1.750" Properties=species:S:1:pos:R:3 pbc="T T T"
Na -0.512 -2.123 -1.316
Tl -1.829 -3.561 1.517
F 0.000 0.000 0.000
Ca -2.137 -0.027 0.875
Na 0.820 -1.411 1.958
```

Properties
The value obtained for the total energy is -2.962 eV/atom. Its total magnetic moment is 0.00 μB per formula unit. As for the raw formation energy: -1186.9 meV/atom.